Run 1
This record from the Alexandria database describes an optimized crystal structure of Pm4Ir2N. The functional is GGA-PBE.

Cell lengths 12.729, 3.777, 8.097 Å; angles 90.00, 124.19, 90.00 degrees
Space group C2/m (No. 12)
Symmetry-distinct sites (fractional):
Pm: 0.075 0.000 0.360
Pm: 0.160 0.500 0.069
Ir: 0.121 0.500 0.686
N: 0.000 0.000 0.000

total moment	0.00	μB per cell
volume	161	Å³/f.u.

=====

Run 2
This record from the Alexandria database describes an optimized crystal structure of Pm4Ir2N. The functional is GGA-PBE.

Cell lengths 4.710, 4.710, 15.668 Å; angles 90.00, 90.00, 90.00 degrees
Space group I4/mmm (No. 139)
Symmetry-distinct sites (fractional):
Pm: 0.000 0.000 0.188
Pm: 0.000 0.500 0.000
Ir: 0.000 0.000 0.363
N: 0.000 0.000 0.500

total moment	0.00	μB per cell
volume	174	Å³/f.u.

=====

The structure with the greatest stability is run 1.

=====

Run 1
This record from the Alexandria database describes an optimized crystal structure of IrPtSe2N. The functional is GGA-PBE.

Cell lengths 5.074, 5.074, 3.605 Å; angles 90.00, 90.00, 90.00 degrees
Space group P4/mmm (No. 123)
Symmetry-distinct sites (fractional):
Ir: 0.000 0.000 0.000
Pt: 0.500 0.500 0.500
Se: 0.000 0.500 0.000
N: 0.000 0.000 0.500

total moment	0.00	μB per cell
volume	93	Å³/f.u.

=====

Run 2
This record from the Alexandria database describes an optimized crystal structure of IrPtSe2N. The functional is GGA-PBE.

Cell lengths 5.106, 5.106, 3.593 Å; angles 90.00, 90.00, 90.00 degrees
Space group P4/mmm (No. 123)
Symmetry-distinct sites (fractional):
Ir: 0.000 0.000 0.000
Pt: 0.500 0.500 0.500
Se: 0.000 0.500 0.500
N: 0.500 0.500 0.000

total moment	0.00	μB per cell
volume	94	Å³/f.u.

=====

The structure with the greatest stability is run 1.

=====

Run 1
This record from the Alexandria database describes an optimized crystal structure of TeIrPtN2. The functional is GGA-PBE.

Cell lengths 3.731, 3.731, 8.299 Å; angles 90.00, 90.00, 90.00 degrees
Space group P4/mmm (No. 123)
Symmetry-distinct sites (fractional):
Te: 0.000 0.000 0.000
Ir: 0.500 0.500 0.000
Pt: 0.000 0.000 0.500
N: 0.000 0.500 0.500

total moment	0.00	μB per cell
volume	116	Å³/f.u.

=====

Run 2
This record from the Alexandria database describes an optimized crystal structure of TeIrPtN2. The functional is GGA-PBE.

Cell lengths 3.772, 3.772, 6.176 Å; angles 90.00, 90.00, 90.00 degrees
Space group P4/mmm (No. 123)
Symmetry-distinct sites (fractional):
Te: 0.000 0.000 0.000
Ir: 0.000 0.000 0.500
Pt: 0.500 0.500 0.000
N: 0.000 0.500 0.500

total moment	0.39	μB per cell
volume	88	Å³/f.u.

=====

The structure with the greatest stability is run 2.